Density functional theory data (PBE+U) for Pm2ZnNiO5 after structural relaxation.

Computed properties:
Space group: P4/mbm (127)
Total magnetic moment: 0.000 μB per atom
Energy: -0.45747 Ry per atom

a b c (Å): 5.493 6.630 6.630
angles (deg): 90.00 90.00 90.00
Positions (direct):
Pm  0.500  0.673  0.173
Pm  0.500  0.173  0.327
Pm  0.500  0.827  0.673
Pm  0.500  0.327  0.827
Zn  0.000  0.500  0.500
Zn  0.000  0.000  0.000
Ni  0.000  0.000  0.500
Ni  0.000  0.500  0.000
O  0.500  0.500  0.500
O  0.500  0.000  0.000
O  0.237  0.139  0.639
O  0.237  0.861  0.361
O  0.237  0.361  0.139
O  0.237  0.639  0.861
O  0.763  0.139  0.639
O  0.763  0.639  0.861
O  0.763  0.861  0.361
O  0.763  0.361  0.139